Entry 1:
## La5TmSb6 (PBE)

Data for La5TmSb6 after structural relaxation.

Summary:
The value obtained for the volume is 407.7 Å³/cell. The raw formation energy comes out at -1.231 eV per atom. Its raw total energy is -5.72 eV/atom.

Cell: 7.936 7.934 7.934 Å, 60.00 80.38 70.47°
Fractional positions:
Sb  0.243  0.595  0.325
Sb  0.754  0.758  0.000
La  0.000  0.334  0.331
La  0.500  0.169  0.661
La  0.000  0.666  0.669
Sb  0.757  0.405  0.675
Sb  0.246  0.242  0.000
La  0.500  0.500  0.000
Tm  0.000  0.000  0.000
La  0.500  0.831  0.339
Sb  0.757  0.081  0.325
Sb  0.243  0.919  0.675

Entry 2:
## LaTm2Sb (PBE)

Data for LaTm2Sb after structural relaxation.

Summary:
The value obtained for the volume is 112.9 Å³/cell. The raw formation energy comes out at -0.480 eV per atom. Its raw total energy is -4.98 eV/atom.

Cell: 4.780 4.860 4.860 Å, 90.00 90.00 90.00°
Fractional positions:
Sb  0.500  0.500  0.500
Tm  0.000  0.500  0.000
La  0.500  0.000  0.000
Tm  0.000  0.000  0.500

Entry 3:
## LaTm4Sb5 (PBE)

Data for LaTm4Sb5 after structural relaxation.

Summary:
The value obtained for the volume is 300.5 Å³/cell. The raw formation energy comes out at -1.100 eV per atom. Its raw total energy is -5.44 eV/atom.

Cell: 4.401 7.608 9.833 Å, 75.07 77.07 73.19°
Fractional positions:
Tm  0.202  0.390  0.205
Sb  0.393  0.319  0.896
Tm  0.596  0.205  0.603
Sb  0.607  0.681  0.104
Sb  0.204  0.903  0.689
Sb  0.000  0.500  0.500
La  0.000  0.000  0.000
Sb  0.796  0.097  0.311
Tm  0.404  0.795  0.397
Tm  0.798  0.610  0.795

Entry 4:
## LaTm3Sb2 (PBE)

Data for LaTm3Sb2 after structural relaxation.

Summary:
The value obtained for the volume is 356.2 Å³/cell. The raw formation energy comes out at -0.681 eV per atom. Its raw total energy is -5.11 eV/atom.

Cell: 4.323 10.646 9.743 Å, 124.92 90.00 101.71°
Fractional positions:
Sb  0.515  0.030  0.185
Tm  0.362  0.723  0.200
Tm  0.689  0.379  0.494
Tm  0.638  0.277  0.800
Tm  0.057  0.115  0.442
La  0.888  0.777  0.903
Sb  0.485  0.970  0.815
Tm  0.943  0.885  0.558
La  0.112  0.223  0.097
Tm  0.311  0.621  0.506
Sb  0.244  0.488  0.782
Sb  0.756  0.512  0.218

Entry 5:
## La3YTm2Sb6 (PBE)

Data for La3YTm2Sb6 after structural relaxation.

Summary:
The value obtained for the volume is 384.4 Å³/cell. The raw formation energy comes out at -1.183 eV per atom. Its raw total energy is -5.76 eV/atom.

Cell: 7.795 7.795 7.753 Å, 99.64 99.64 119.99°
Fractional positions:
Sb  0.078  0.414  0.235
Sb  0.258  0.258  0.766
La  0.834  0.166  0.500
Sb  0.414  0.078  0.235
Y  0.000  0.000  0.000
Tm  0.667  0.333  0.000
Sb  0.922  0.586  0.765
La  0.166  0.834  0.500
Sb  0.742  0.742  0.234
Tm  0.333  0.667  0.000
Sb  0.586  0.922  0.765
La  0.500  0.500  0.500

Entry 6:
## LaUSb2 (PBE)

Data for LaUSb2 after structural relaxation.

Summary:
The value obtained for the volume is 112.8 Å³/cell. The raw formation energy comes out at -0.582 eV per atom. Its raw total energy is -6.70 eV/atom.

Cell: 3.808 3.808 7.777 Å, 90.00 90.00 90.00°
Each line ends with the local moment (μB).
Fractional positions:
La  0.500  0.500  0.500  0.07
Sb  0.000  0.000  0.233  -0.09
Sb  0.000  0.000  0.767  -0.09
U  0.500  0.500  0.000  2.47

Entry 7:
## La4USb5 (PBE)

Data for La4USb5 after structural relaxation.

Summary:
The value obtained for the volume is 339.1 Å³/cell. The raw formation energy comes out at -1.042 eV per atom. Its raw total energy is -6.20 eV/atom.

Cell: 6.474 7.928 7.928 Å, 80.40 65.90 65.90°
Each line ends with the local moment (μB).
Fractional positions:
Sb  0.099  0.612  0.193  -0.02
La  0.200  0.204  0.398  0.00
Sb  0.292  0.807  0.612  -0.02
La  0.598  0.602  0.204  0.00
Sb  0.904  0.388  0.807  -0.02
La  0.802  0.796  0.602  0.00
Sb  0.501  0.000  0.000  -0.04
La  0.404  0.398  0.796  0.00
Sb  0.710  0.193  0.388  -0.02
U  0.001  0.000  0.000  2.45

Entry 8:
## La3USb4 (PBE)

Data for La3USb4 after structural relaxation.

Summary:
The value obtained for the volume is 537.9 Å³/cell. The raw formation energy comes out at -0.986 eV per atom. Its raw total energy is -6.31 eV/atom.

Cell: 7.867 7.937 9.143 Å, 90.00 90.00 109.58°
Each line ends with the local moment (μB).
Fractional positions:
La  0.250  0.500  0.874  0.00
Sb  0.007  0.755  0.368  -0.03
Sb  0.993  0.245  0.632  -0.03
Sb  0.002  0.240  0.120  -0.04
Sb  0.998  0.760  0.880  -0.04
La  0.750  0.500  0.623  0.00
Sb  0.493  0.245  0.368  -0.03
U  0.750  0.000  0.877  2.43
U  0.250  0.000  0.123  2.43
Sb  0.507  0.755  0.632  -0.03
La  0.750  0.500  0.126  0.00
La  0.250  0.000  0.625  0.00
Sb  0.502  0.240  0.880  -0.04
La  0.750  0.000  0.375  0.00
Sb  0.498  0.760  0.120  -0.04
La  0.250  0.500  0.377  0.00